RbErTe3As: relaxed, PBE.

a b c (Å): 8.974 8.974 11.211
angles (deg): 90.00 90.00 151.39
Fractional positions:
Rb  0.238  0.762  0.750
Rb  0.762  0.238  0.250
Er  0.000  0.000  0.000
Er  0.000  0.000  0.500
Te  0.086  0.914  0.250
Te  0.378  0.622  0.041
Te  0.378  0.622  0.459
Te  0.622  0.378  0.541
Te  0.622  0.378  0.959
Te  0.914  0.086  0.750
As  0.459  0.541  0.250
As  0.541  0.459  0.750

Values from the calculation:
Theoretical density in g/cm3: 5.5
Space-group type: Cmcm, No. 63
Final energy in eV/atom: -3.967


ErReAs: relaxed, PBE.

a b c (Å): 4.434 4.434 4.434
angles (deg): 60.00 60.00 60.00
Fractional positions:
Er  0.000  0.000  0.000
Re  0.500  0.500  0.500
As  0.250  0.250  0.250

Values from the calculation:
Theoretical density in g/cm3: 11.5
Space-group type: F-43m, No. 216
Final energy in eV/atom: -7.083